#i
Entry from the Alexandria database: crystalline Sr2LiPr at its relaxed geometry (PBE).

Lattice parameters (Å, degrees): 3.967 3.967 12.354 80.76 80.76 60.00
Fractional coordinates of all 4 atoms:
Sr 0.254 0.254 0.238
Pr 0.500 0.500 0.499
Li 0.666 0.666 0.001
Sr 0.079 0.079 0.762

Computed properties:
The total magnetization comes out at 0.07 μB/f.u. For the density, the calculation gives 3.244 g cm⁻³.

***

#ii
Entry from the Alexandria database: crystalline Sr2LiPr at its relaxed geometry (PBE).

Lattice parameters (Å, degrees): 3.827 3.827 13.392 81.79 81.79 60.00
Last column: magnetic moment on the atom in μB.
Fractional coordinates of all 4 atoms:
Sr 0.093 0.093 0.721  0.02
Pr 0.000 0.000 0.000  0.22
Li 0.500 0.500 0.500  0.00
Sr 0.907 0.907 0.279  0.02

Computed properties:
The total magnetization comes out at 0.62 μB/f.u. For the density, the calculation gives 3.203 g cm⁻³.

***

It is #i that is the most stable of them.

***

#i
Entry from the Alexandria database: crystalline Sr2LiPr at its relaxed geometry (PBE).

Lattice parameters (Å, degrees): 4.134 4.134 9.429 90.00 90.00 90.00
Fractional coordinates of all 4 atoms:
Sr 0.000 0.000 0.224
Pr 0.500 0.500 0.500
Sr 0.000 0.000 0.776
Li 0.500 0.500 0.000

Computed properties:
The total magnetization comes out at 0.00 μB/f.u. For the density, the calculation gives 3.330 g cm⁻³.

***

#ii
Entry from the Alexandria database: crystalline Sr2LiPr at its relaxed geometry (PBE).

Lattice parameters (Å, degrees): 4.264 6.197 6.197 90.00 90.00 90.00
Fractional coordinates of all 4 atoms:
Li 0.500 0.000 0.000
Sr 0.000 0.500 0.000
Sr 0.000 0.000 0.500
Pr 0.500 0.500 0.500

Computed properties:
The total magnetization comes out at 0.00 μB/f.u. For the density, the calculation gives 3.277 g cm⁻³.

***

It is #i that is the most stable of them.

***

#i
Entry from the Alexandria database: crystalline SrLiPr2 at its relaxed geometry (PBE).

Lattice parameters (Å, degrees): 3.640 3.640 12.840 81.85 81.85 60.00
Fractional coordinates of all 4 atoms:
Pr 0.904 0.904 0.287
Sr 0.000 0.000 0.000
Li 0.500 0.500 0.500
Pr 0.096 0.096 0.713

Computed properties:
The total magnetization comes out at 0.00 μB/f.u. For the density, the calculation gives 4.299 g cm⁻³.

***

#ii
Entry from the Alexandria database: crystalline SrLiPr2 at its relaxed geometry (PBE).

Lattice parameters (Å, degrees): 3.909 3.909 9.376 90.00 90.00 90.00
Fractional coordinates of all 4 atoms:
Li 0.500 0.500 0.000
Sr 0.500 0.500 0.500
Pr 0.000 0.000 0.815
Pr 0.000 0.000 0.185

Computed properties:
The total magnetization comes out at 0.00 μB/f.u. For the density, the calculation gives 4.361 g cm⁻³.

***

It is #ii that is the most stable of them.

***

#i
Entry from the Alexandria database: crystalline LiTbPr at its relaxed geometry (PBE).

Lattice parameters (Å, degrees): 3.687 3.687 13.022 89.95 89.95 90.04
Fractional coordinates of all 6 atoms:
Pr 0.249 0.249 0.104
Tb 0.251 0.251 0.708
Tb 0.749 0.749 0.292
Li 0.249 0.249 0.450
Pr 0.751 0.751 0.896
Li 0.751 0.751 0.550

Computed properties:
The total magnetization comes out at 0.00 μB/f.u. For the density, the calculation gives 5.755 g cm⁻³.

***

#ii
Entry from the Alexandria database: crystalline LiTbPr at its relaxed geometry (PBE).

Lattice parameters (Å, degrees): 3.649 3.649 13.484 90.00 90.00 90.00
Fractional coordinates of all 6 atoms:
Tb 0.500 0.000 0.407
Tb 0.000 0.500 0.593
Li 0.500 0.500 0.000
Pr 0.500 0.000 0.782
Pr 0.000 0.500 0.218
Li 0.000 0.000 0.000

Computed properties:
The total magnetization comes out at 0.00 μB/f.u. For the density, the calculation gives 5.675 g cm⁻³.

***

#iii
Entry from the Alexandria database: crystalline LiTbPr at its relaxed geometry (PBE).

Lattice parameters (Å, degrees): 3.756 3.756 6.779 106.09 106.09 90.00
Fractional coordinates of all 3 atoms:
Pr 0.321 0.321 0.642
Tb 0.016 0.016 0.033
Li 0.663 0.663 0.325

Computed properties:
The total magnetization comes out at 0.00 μB/f.u. For the density, the calculation gives 5.789 g cm⁻³.

***

#iv
Entry from the Alexandria database: crystalline LiTbPr at its relaxed geometry (PBE).

Lattice parameters (Å, degrees): 3.552 3.552 8.442 90.00 90.00 120.00
Fractional coordinates of all 3 atoms:
Pr 0.333 0.667 0.670
Tb 0.667 0.333 0.326
Li 0.000 0.000 0.004

Computed properties:
The total magnetization comes out at 0.00 μB/f.u. For the density, the calculation gives 5.524 g cm⁻³.

***

It is #i that is the most stable of them.

***

#i
Entry from the Alexandria database: crystalline LiTb2Pr at its relaxed geometry (PBE).

Lattice parameters (Å, degrees): 3.510 3.510 12.489 81.92 81.92 60.00
Fractional coordinates of all 4 atoms:
Pr 0.500 0.500 0.500
Tb 0.088 0.088 0.736
Li 0.000 0.000 0.000
Tb 0.912 0.912 0.264

Computed properties:
The total magnetization comes out at 0.00 μB/f.u. For the density, the calculation gives 5.880 g cm⁻³.

***

#ii
Entry from the Alexandria database: crystalline LiTb2Pr at its relaxed geometry (PBE).

Lattice parameters (Å, degrees): 3.554 3.554 11.555 81.15 81.15 60.00
Fractional coordinates of all 4 atoms:
Pr 0.500 0.500 0.500
Tb 0.254 0.254 0.237
Tb 0.079 0.079 0.763
Li 0.667 0.667 0.000

Computed properties:
The total magnetization comes out at 0.00 μB/f.u. For the density, the calculation gives 6.217 g cm⁻³.

***

#iii
Entry from the Alexandria database: crystalline LiTb2Pr at its relaxed geometry (PBE).

Lattice parameters (Å, degrees): 3.711 5.731 5.731 90.00 90.00 90.00
Fractional coordinates of all 4 atoms:
Tb 0.000 0.500 0.000
Pr 0.500 0.500 0.500
Li 0.500 0.000 0.000
Tb 0.000 0.000 0.500

Computed properties:
The total magnetization comes out at 0.00 μB/f.u. For the density, the calculation gives 6.345 g cm⁻³.

***

#iv
Entry from the Alexandria database: crystalline LiTb2Pr at its relaxed geometry (PBE).

Lattice parameters (Å, degrees): 3.692 3.692 8.786 90.00 90.00 90.00
Fractional coordinates of all 4 atoms:
Tb 0.000 0.000 0.785
Pr 0.500 0.500 0.500
Li 0.500 0.500 0.000
Tb 0.000 0.000 0.215

Computed properties:
The total magnetization comes out at 0.00 μB/f.u. For the density, the calculation gives 6.457 g cm⁻³.

***

It is #iv that is the most stable of them.

***

#i
Entry from the Alexandria database: crystalline LiTbPrZn at its relaxed geometry (PBE).

Lattice parameters (Å, degrees): 3.707 3.707 7.458 90.00 90.00 90.00
Fractional coordinates of all 4 atoms:
Pr 0.500 0.500 0.591
Li 0.000 0.000 0.869
Zn 0.000 0.000 0.343
Tb 0.500 0.500 0.125

Computed properties:
The total magnetization comes out at 0.00 μB/f.u. For the density, the calculation gives 6.031 g cm⁻³.

***

#ii
Entry from the Alexandria database: crystalline LiTbPrZn at its relaxed geometry (PBE).

Lattice parameters (Å, degrees): 5.221 5.221 5.221 60.00 60.00 60.00
Fractional coordinates of all 4 atoms:
Zn 0.000 0.000 0.000
Tb 0.750 0.750 0.750
Pr 0.250 0.250 0.250
Li 0.500 0.500 0.500

Computed properties:
The total magnetization comes out at 0.00 μB/f.u. For the density, the calculation gives 6.142 g cm⁻³.

***

It is #i that is the most stable of them.